Material: LiHfAg2W
Method: DFT, PBE-GGA
State: optimized geometry

Unit cell a=4.9281 b=4.5179 c=4.9281 alpha=90.00 beta=90.00 gamma=90.00
Site moments in Bohr magnetons follow the coordinates.
Fractional positions:
Hf  0.0000  0.0000  0.0000  0.50
Ag  0.0000  0.0000  0.5000  0.02
Ag  0.5000  0.0000  0.0000  0.02
Li  0.0000  0.5000  0.0000  0.15
W  0.5000  0.5000  0.5000  0.14

Values from the calculation:
Mass density in g/cm³: 8.9
E_form in meV per atom: 2185

***

Material: LuHfAg
Method: DFT, PBE-GGA
State: optimized geometry

Unit cell a=3.3058 b=3.3058 c=6.6116 alpha=104.48 beta=104.48 gamma=90.00
Fractional positions:
Lu  0.9977  0.9977  0.9954
Ag  0.3266  0.3266  0.6532
Hf  0.6757  0.6757  0.3514

Values from the calculation:
Mass density in g/cm³: 11.3
E_form in meV per atom: -68

***

Material: LuHfNiAg
Method: DFT, PBE-GGA
State: optimized geometry

Unit cell a=4.7656 b=4.7656 c=4.7656 alpha=60.00 beta=60.00 gamma=60.00
Fractional positions:
Hf  0.5000  0.5000  0.5000
Lu  0.0000  0.0000  0.0000
Ag  0.2500  0.2500  0.2500
Ni  0.7500  0.7500  0.7500

Values from the calculation:
Mass density in g/cm³: 11.3
E_form in meV per atom: -191

***

Material: LuHfAgOs
Method: DFT, PBE-GGA
State: optimized geometry

Unit cell a=4.7711 b=4.7711 c=4.7711 alpha=60.00 beta=60.00 gamma=60.00
Fractional positions:
Ag  0.2500  0.2500  0.2500
Os  0.7500  0.7500  0.7500
Lu  0.0000  0.0000  0.0000
Hf  0.5000  0.5000  0.5000

Values from the calculation:
Mass density in g/cm³: 14.1
E_form in meV per atom: -313

***

Material: LuHfAgPb
Method: DFT, PBE-GGA
State: optimized geometry

Unit cell a=5.0567 b=5.0567 c=5.0567 alpha=60.00 beta=60.00 gamma=60.00
Fractional positions:
Lu  0.0000  0.0000  0.0000
Hf  0.5000  0.5000  0.5000
Pb  0.7500  0.7500  0.7500
Ag  0.2500  0.2500  0.2500

Values from the calculation:
Mass density in g/cm³: 12.1
E_form in meV per atom: -48

***

Material: LuHfAgPd
Method: DFT, PBE-GGA
State: optimized geometry

Unit cell a=4.8497 b=4.8497 c=4.8497 alpha=60.00 beta=60.00 gamma=60.00
Fractional positions:
Lu  0.0000  0.0000  0.0000
Pd  0.7500  0.7500  0.7500
Ag  0.2500  0.2500  0.2500
Hf  0.5000  0.5000  0.5000

Values from the calculation:
Mass density in g/cm³: 11.7
E_form in meV per atom: -405

***

Material: LuHfAgPt
Method: DFT, PBE-GGA
State: optimized geometry

Unit cell a=4.8338 b=4.8338 c=4.8338 alpha=60.00 beta=60.00 gamma=60.00
Fractional positions:
Ag  0.2500  0.2500  0.2500
Pt  0.7500  0.7500  0.7500
Hf  0.5000  0.5000  0.5000
Lu  0.0000  0.0000  0.0000

Values from the calculation:
Mass density in g/cm³: 13.6
E_form in meV per atom: -614

***

Material: LuHfAgRh
Method: DFT, PBE-GGA
State: optimized geometry

Unit cell a=4.7980 b=4.7980 c=4.7980 alpha=60.00 beta=60.00 gamma=60.00
Fractional positions:
Ag  0.7500  0.7500  0.7500
Rh  0.2500  0.2500  0.2500
Lu  0.5000  0.5000  0.5000
Hf  0.0000  0.0000  0.0000

Values from the calculation:
Mass density in g/cm³: 12.0
E_form in meV per atom: -475